# Cr2PC | Alexandria via LeMat-Bulk | PBE-GGA | relaxed
data_Cr2PC
_chemical_formula_sum 'Cr2 P1 C1'
_cell_length_a 3.8398
_cell_length_b 3.8398
_cell_length_c 3.8398
_cell_angle_alpha 60.00
_cell_angle_beta 60.00
_cell_angle_gamma 60.00
_space_group_name_H-M_alt 'P 1'
_space_group_IT_number 1
loop_
_space_group_symop_operation_xyz
'x,y,z'
loop_
_atom_site_label
_atom_site_fract_x
_atom_site_fract_y
_atom_site_fract_z
_atom_site_occupancy
Cr1 0.2500 0.2500 0.2500 1
Cr2 0.7500 0.7500 0.7500 1
P1 0.0000 0.0000 0.0000 1
C1 0.5000 0.5000 0.5000 1
# Energy   -8.01 eV/atom
# ΔH_f (0 K)   0.46 eV per atom

=====

# NaNd2Hg3 | Alexandria via LeMat-Bulk | PBE-GGA | relaxed
data_NaNd2Hg3
_chemical_formula_sum 'Na1 Nd2 Hg3'
_cell_length_a 3.7965
_cell_length_b 3.7965
_cell_length_c 11.5562
_cell_angle_alpha 90.00
_cell_angle_beta 90.00
_cell_angle_gamma 90.00
_space_group_name_H-M_alt 'P 1'
_space_group_IT_number 1
loop_
_space_group_symop_operation_xyz
'x,y,z'
loop_
_atom_site_label
_atom_site_fract_x
_atom_site_fract_y
_atom_site_fract_z
_atom_site_occupancy
Na1 0.0000 0.0000 0.0000 1
Nd1 0.0000 0.0000 0.3314 1
Nd2 0.0000 0.0000 0.6686 1
Hg1 0.5000 0.5000 0.1703 1
Hg2 0.5000 0.5000 0.5000 1
Hg3 0.5000 0.5000 0.8297 1
# Energy   -2.35 eV/atom
# ΔH_f (0 K)   -0.39 eV per atom

=====

# La2Nd2Tm | Alexandria via LeMat-Bulk | PBE-GGA | relaxed
data_La2Nd2Tm
_chemical_formula_sum 'La4 Nd4 Tm2'
_cell_length_a 7.1653
_cell_length_b 7.1653
_cell_length_c 13.3984
_cell_angle_alpha 90.00
_cell_angle_beta 90.00
_cell_angle_gamma 148.62
_space_group_name_H-M_alt 'P 1'
_space_group_IT_number 1
loop_
_space_group_symop_operation_xyz
'x,y,z'
loop_
_atom_site_label
_atom_site_fract_x
_atom_site_fract_y
_atom_site_fract_z
_atom_site_occupancy
La1 0.0010 0.9990 0.5000 1
La2 0.2609 0.7391 0.6041 1
La3 0.7391 0.2609 0.1041 1
La4 0.9990 0.0010 0.0000 1
Nd1 0.0956 0.9044 0.2512 1
Nd2 0.2613 0.7387 0.8964 1
Nd3 0.7387 0.2613 0.3964 1
Nd4 0.9044 0.0956 0.7512 1
Tm1 0.3984 0.6016 0.2528 1
Tm2 0.6016 0.3984 0.7528 1
# Energy   -4.65 eV/atom
# ΔH_f (0 K)   0.12 eV per atom

=====

# YAl2V | Alexandria via LeMat-Bulk | PBE-GGA | relaxed
data_YAl2V
_chemical_formula_sum 'Y1 Al2 V1'
_cell_length_a 4.7560
_cell_length_b 4.7560
_cell_length_c 4.7560
_cell_angle_alpha 60.00
_cell_angle_beta 60.00
_cell_angle_gamma 60.00
_space_group_name_H-M_alt 'P 1'
_space_group_IT_number 1
loop_
_space_group_symop_operation_xyz
'x,y,z'
loop_
_atom_site_label
_atom_site_fract_x
_atom_site_fract_y
_atom_site_fract_z
_atom_site_occupancy
Y1 0.0000 0.0000 0.0000 1
Al1 0.2500 0.2500 0.2500 1
Al2 0.7500 0.7500 0.7500 1
V1 0.5000 0.5000 0.5000 1
# Energy   -5.88 eV/atom
# ΔH_f (0 K)   -0.12 eV per atom

=====

# ReW3 | Alexandria via LeMat-Bulk | PBE-GGA | relaxed
data_ReW3
_chemical_formula_sum 'Re1 W3'
_cell_length_a 4.4792
_cell_length_b 4.4792
_cell_length_c 3.1636
_cell_angle_alpha 90.00
_cell_angle_beta 90.00
_cell_angle_gamma 90.00
_space_group_name_H-M_alt 'P 1'
_space_group_IT_number 1
loop_
_space_group_symop_operation_xyz
'x,y,z'
loop_
_atom_site_label
_atom_site_fract_x
_atom_site_fract_y
_atom_site_fract_z
_atom_site_occupancy
Re1 0.0000 0.0000 0.0000 1
W1 0.0000 0.5000 0.5000 1
W2 0.5000 0.0000 0.5000 1
W3 0.5000 0.5000 0.0000 1
# Energy   -12.79 eV/atom
# ΔH_f (0 K)   0.04 eV per atom

=====

# DyY5Cd3 | Alexandria via LeMat-Bulk | PBE-GGA | relaxed
data_DyY5Cd3
_chemical_formula_sum 'Dy2 Y10 Cd6'
_cell_length_a 9.2016
_cell_length_b 9.2016
_cell_length_c 6.9541
_cell_angle_alpha 90.00
_cell_angle_beta 90.00
_cell_angle_gamma 120.00
_space_group_name_H-M_alt 'P 1'
_space_group_IT_number 1
loop_
_space_group_symop_operation_xyz
'x,y,z'
loop_
_atom_site_label
_atom_site_fract_x
_atom_site_fract_y
_atom_site_fract_z
_atom_site_occupancy
Dy1 0.0000 0.0000 0.0000 1
Dy2 0.0000 0.0000 0.5000 1
Y1 0.0000 0.3324 0.2500 1
Y2 0.0000 0.6676 0.7500 1
Y3 0.3324 0.0000 0.2500 1
Y4 0.3324 0.3324 0.7500 1
Y5 0.3333 0.6667 0.0000 1
Y6 0.3333 0.6667 0.5000 1
Y7 0.6667 0.3333 0.0000 1
Y8 0.6667 0.3333 0.5000 1
Y9 0.6676 0.0000 0.7500 1
Y10 0.6676 0.6676 0.2500 1
Cd1 0.0000 0.3341 0.7500 1
Cd2 0.0000 0.6659 0.2500 1
Cd3 0.3341 0.0000 0.7500 1
Cd4 0.3341 0.3341 0.2500 1
Cd5 0.6659 0.0000 0.2500 1
Cd6 0.6659 0.6659 0.7500 1
# Energy   -4.62 eV/atom
# ΔH_f (0 K)   -0.21 eV per atom

=====

# ScMnW | Alexandria via LeMat-Bulk | PBE-GGA | relaxed
data_ScMnW
_chemical_formula_sum 'Sc1 Mn1 W1'
_cell_length_a 4.2037
_cell_length_b 4.2037
_cell_length_c 4.2037
_cell_angle_alpha 60.00
_cell_angle_beta 60.00
_cell_angle_gamma 60.00
_space_group_name_H-M_alt 'P 1'
_space_group_IT_number 1
loop_
_space_group_symop_operation_xyz
'x,y,z'
loop_
_atom_site_label
_atom_site_fract_x
_atom_site_fract_y
_atom_site_fract_z
_atom_site_occupancy
Sc1 0.0000 0.0000 0.0000 1
Mn1 0.7500 0.7500 0.7500 1
W1 0.5000 0.5000 0.5000 1
# Energy   -8.99 eV/atom
# ΔH_f (0 K)   0.50 eV per atom

=====

# ZrMnBr4 | Alexandria via LeMat-Bulk | PBE-GGA | relaxed
data_ZrMnBr4
_chemical_formula_sum 'Zr1 Mn1 Br4'
_cell_length_a 6.1573
_cell_length_b 6.1573
_cell_length_c 6.1573
_cell_angle_alpha 60.00
_cell_angle_beta 60.00
_cell_angle_gamma 60.00
_space_group_name_H-M_alt 'P 1'
_space_group_IT_number 1
loop_
_space_group_symop_operation_xyz
'x,y,z'
loop_
_atom_site_label
_atom_site_fract_x
_atom_site_fract_y
_atom_site_fract_z
_atom_site_occupancy
Zr1 0.0000 0.0000 0.0000 1
Mn1 0.2500 0.2500 0.2500 1
Br1 0.1236 0.6255 0.6255 1
Br2 0.6255 0.1236 0.6255 1
Br3 0.6255 0.6255 0.1236 1
Br4 0.6255 0.6255 0.6255 1
# Energy   -3.26 eV/atom
# Raw formation energy   806 meV/atom

=====

# BeBCl2 | Alexandria via LeMat-Bulk | PBE-GGA | relaxed
data_BeBCl2
_chemical_formula_sum 'Be2 B2 Cl4'
_cell_length_a 6.2448
_cell_length_b 6.2448
_cell_length_c 6.2448
_cell_angle_alpha 120.85
_cell_angle_beta 120.85
_cell_angle_gamma 88.53
_space_group_name_H-M_alt 'P 1'
_space_group_IT_number 1
loop_
_space_group_symop_operation_xyz
'x,y,z'
loop_
_atom_site_label
_atom_site_fract_x
_atom_site_fract_y
_atom_site_fract_z
_atom_site_occupancy
Be1 0.0000 0.0000 0.0000 1
Be2 0.7500 0.2500 0.5000 1
B1 0.2500 0.7500 0.5000 1
B2 0.5000 0.5000 0.0000 1
Cl1 0.3750 0.2479 0.3729 1
Cl2 0.7521 0.1250 0.1271 1
Cl3 0.8750 0.0021 0.6271 1
Cl4 0.9979 0.6250 0.8729 1
# Energy   -3.02 eV/atom
# Raw formation energy   504 meV/atom

=====

# AcZn2SnPd | Alexandria via LeMat-Bulk | PBE-GGA | relaxed
data_AcZn2SnPd
_chemical_formula_sum 'Ac1 Zn2 Sn1 Pd1'
_cell_length_a 6.4545
_cell_length_b 6.4545
_cell_length_c 6.4545
_cell_angle_alpha 139.69
_cell_angle_beta 138.94
_cell_angle_gamma 58.90
_space_group_name_H-M_alt 'P 1'
_space_group_IT_number 1
loop_
_space_group_symop_operation_xyz
'x,y,z'
loop_
_atom_site_label
_atom_site_fract_x
_atom_site_fract_y
_atom_site_fract_z
_atom_site_occupancy
Ac1 0.0000 0.0000 0.0000 1
Zn1 0.3941 0.3941 0.0000 1
Zn2 0.7519 0.2519 0.5000 1
Sn1 0.2518 0.7518 0.5000 1
Pd1 0.6208 0.6208 0.0000 1
# Energy   -3.72 eV/atom
# ΔH_f (0 K)   -0.55 eV per atom

=====

# TbClO | Alexandria via LeMat-Bulk | PBE-GGA | relaxed
data_TbClO
_chemical_formula_sum 'Tb2 Cl2 O2'
_cell_length_a 5.1462
_cell_length_b 5.1462
_cell_length_c 5.1462
_cell_angle_alpha 112.62
_cell_angle_beta 103.61
_cell_angle_gamma 112.34
_space_group_name_H-M_alt 'P 1'
_space_group_IT_number 1
loop_
_space_group_symop_operation_xyz
'x,y,z'
loop_
_atom_site_label
_atom_site_fract_x
_atom_site_fract_y
_atom_site_fract_z
_atom_site_occupancy
Tb1 0.0000 0.0000 0.0000 1
Tb2 0.5000 0.0000 0.5000 1
Cl1 0.3958 0.6458 0.7500 1
Cl2 0.6042 0.3542 0.2500 1
O1 0.0000 0.0000 0.5000 1
O2 0.0000 0.5000 0.0000 1
# Energy   -5.87 eV/atom
# Raw formation energy   -2057 meV/atom

=====

# Tl2SbSe | Alexandria via LeMat-Bulk | PBE-GGA | relaxed
data_Tl2SbSe
_chemical_formula_sum 'Tl2 Sb1 Se1'
_cell_length_a 9.6853
_cell_length_b 9.6853
_cell_length_c 9.6853
_cell_angle_alpha 22.82
_cell_angle_beta 22.82
_cell_angle_gamma 22.82
_space_group_name_H-M_alt 'P 1'
_space_group_IT_number 1
loop_
_space_group_symop_operation_xyz
'x,y,z'
loop_
_atom_site_label
_atom_site_fract_x
_atom_site_fract_y
_atom_site_fract_z
_atom_site_occupancy
Tl1 0.0000 0.0000 0.0000 1
Tl2 0.2298 0.2298 0.2298 1
Sb1 0.7548 0.7548 0.7548 1
Se1 0.4881 0.4881 0.4881 1
# Energy   -3.11 eV/atom
# Raw formation energy   -24 meV/atom